Ba3Hg2Ge3 | PBE | optimized geometry

a b c (Å): 6.387 6.387 16.570
angles (deg): 90.00 90.00 132.77
Atoms (fractional coordinates):
Ba  0.098  0.902  0.750
Ba  0.376  0.624  0.604
Ba  0.376  0.624  0.896
Ba  0.624  0.376  0.104
Ba  0.624  0.376  0.396
Ba  0.902  0.098  0.250
Hg  0.326  0.674  0.105
Hg  0.326  0.674  0.395
Hg  0.674  0.326  0.605
Hg  0.674  0.326  0.895
Ge  0.102  0.898  0.529
Ge  0.102  0.898  0.971
Ge  0.197  0.803  0.250
Ge  0.803  0.197  0.750
Ge  0.898  0.102  0.029
Ge  0.898  0.102  0.471

symmetry	No. 63
formation enthalpy at 0 K	-493	meV per atom

=====

RuAuSe2Br | PBE | optimized geometry

a b c (Å): 4.767 4.767 5.327
angles (deg): 90.00 90.00 90.00
Atoms (fractional coordinates):
Ru  0.000  0.000  0.000
Au  0.500  0.500  0.500
Se  0.000  0.500  0.000
Se  0.500  0.000  0.000
Br  0.000  0.000  0.500

relative energy among the computed polymorphs	0	meV per atom
raw formation energy	0.532	eV per atom
symmetry	No. 123

=====

NaTbTe4 | PBE | optimized geometry

a b c (Å): 6.817 6.817 8.194
angles (deg): 90.00 90.00 90.00
Atoms (fractional coordinates):
Na  0.250  0.250  0.000
Na  0.750  0.750  0.000
Tb  0.250  0.250  0.500
Tb  0.750  0.750  0.500
Te  0.103  0.603  0.271
Te  0.103  0.897  0.729
Te  0.397  0.603  0.729
Te  0.397  0.897  0.271
Te  0.603  0.103  0.729
Te  0.603  0.397  0.271
Te  0.897  0.103  0.271
Te  0.897  0.397  0.729

raw formation energy	-0.855	eV per atom
symmetry	No. 125

=====

NdPaP3 | PBE | optimized geometry

a b c (Å): 4.149 5.989 9.360
angles (deg): 90.00 90.00 90.00
Atoms (fractional coordinates):
Nd  0.250  0.250  0.124
Nd  0.750  0.750  0.876
Pa  0.250  0.750  0.377
Pa  0.750  0.250  0.623
P  0.250  0.561  0.658
P  0.250  0.750  0.089
P  0.250  0.939  0.658
P  0.750  0.061  0.342
P  0.750  0.250  0.911
P  0.750  0.439  0.342

symmetry	No. 59
formation enthalpy at 0 K	-1057	meV per atom

=====

CdSbO3 | PBE | optimized geometry

a b c (Å): 7.692 7.692 5.604
angles (deg): 90.00 90.00 154.59
Atoms (fractional coordinates):
Cd  0.043  0.957  0.500
Cd  0.957  0.043  0.000
Sb  0.328  0.672  0.529
Sb  0.672  0.328  0.029
O  0.116  0.884  0.848
O  0.224  0.776  0.234
O  0.444  0.556  0.726
O  0.556  0.444  0.226
O  0.776  0.224  0.734
O  0.884  0.116  0.348

raw formation energy	-1.151	eV per atom
symmetry	No. 36

=====

ScAgS2N | PBE | optimized geometry

a b c (Å): 4.976 4.976 4.109
angles (deg): 90.00 90.00 90.00
Atoms (fractional coordinates):
Sc  0.000  0.000  0.000
Ag  0.500  0.500  0.500
S  0.000  0.500  0.000
S  0.500  0.000  0.000
N  0.000  0.000  0.500

relative energy among the computed polymorphs	0	meV per atom
raw formation energy	0.226	eV per atom
symmetry	No. 123

=====

ThZnCuPt | PBE | optimized geometry

a b c (Å): 4.798 4.798 4.798
angles (deg): 60.00 60.00 60.00
Atoms (fractional coordinates):
Th  0.000  0.000  0.000
Zn  0.500  0.500  0.500
Cu  0.750  0.750  0.750
Pt  0.250  0.250  0.250

relative energy among the computed polymorphs	105	meV per atom
symmetry	No. 216
formation enthalpy at 0 K	-510	meV per atom

=====

ErSnHgPb | PBE | optimized geometry

a b c (Å): 5.376 5.376 5.376
angles (deg): 60.00 60.00 60.00
Atoms (fractional coordinates):
Er  0.000  0.000  0.000
Sn  0.250  0.250  0.250
Hg  0.750  0.750  0.750
Pb  0.500  0.500  0.500

relative energy among the computed polymorphs	119	meV per atom
symmetry	No. 216
formation enthalpy at 0 K	-212	meV per atom